# 1
An optimized crystal structure of YAlCoH2. Source: the Alexandria database, functional PBE.

Results
VASP energy in eV per atom: -4.1813
Crystal system: tetragonal
ρ in g/cm³: 3.37

Structure (CIF):
```
data_YAlCoH2
_chemical_formula_sum 'Y1 Al1 Co1 H2'
_symmetry_space_group_name_H-M 'P 1'
_symmetry_Int_Tables_number 1
_cell_length_a 3.629
_cell_length_b 3.629
_cell_length_c 6.618
_cell_angle_alpha 90.00
_cell_angle_beta 90.00
_cell_angle_gamma 90.00
loop_
_symmetry_equiv_pos_as_xyz
'x,y,z'
loop_
_atom_site_label
_atom_site_type_symbol
_atom_site_fract_x
_atom_site_fract_y
_atom_site_fract_z
Y1 Y 0.000 0.000 0.000
Al1 Al 0.000 0.000 0.500
Co1 Co 0.500 0.500 0.000
H1 H 0.000 0.500 0.500
H2 H 0.500 0.000 0.500
```



# 2
An optimized crystal structure of VNi3I. Source: the Alexandria database, functional PBE.

Results
VASP energy in eV per atom: -4.4916
Crystal system: cubic
ρ in g/cm³: 6.62

Structure (CIF):
```
data_VNi3I
_chemical_formula_sum 'V1 Ni3 I1'
_symmetry_space_group_name_H-M 'P 1'
_symmetry_Int_Tables_number 1
_cell_length_a 4.460
_cell_length_b 4.460
_cell_length_c 4.460
_cell_angle_alpha 90.00
_cell_angle_beta 90.00
_cell_angle_gamma 90.00
loop_
_symmetry_equiv_pos_as_xyz
'x,y,z'
loop_
_atom_site_label
_atom_site_type_symbol
_atom_site_fract_x
_atom_site_fract_y
_atom_site_fract_z
V1 V 0.000 0.000 0.000
Ni1 Ni 0.000 0.000 0.500
Ni2 Ni 0.000 0.500 0.000
Ni3 Ni 0.500 0.000 0.000
I1 I 0.500 0.500 0.500
```



# 3
An optimized crystal structure of TlCo2CuN. Source: the Alexandria database, functional PBE.

Results
VASP energy in eV per atom: -5.5197
Crystal system: tetragonal
ρ in g/cm³: 10.83

Structure (CIF):
```
data_TlCo2CuN
_chemical_formula_sum 'Tl1 Co2 Cu1 N1'
_symmetry_space_group_name_H-M 'P 1'
_symmetry_Int_Tables_number 1
_cell_length_a 3.874
_cell_length_b 3.874
_cell_length_c 4.085
_cell_angle_alpha 90.00
_cell_angle_beta 90.00
_cell_angle_gamma 90.00
loop_
_symmetry_equiv_pos_as_xyz
'x,y,z'
loop_
_atom_site_label
_atom_site_type_symbol
_atom_site_fract_x
_atom_site_fract_y
_atom_site_fract_z
Tl1 Tl 0.000 0.000 0.000
Co1 Co 0.000 0.500 0.500
Co2 Co 0.500 0.000 0.500
Cu1 Cu 0.500 0.500 0.000
N1 N 0.500 0.500 0.500
```



# 4
An optimized crystal structure of Sr2MgAg3Sn4. Source: the Alexandria database, functional PBE.

Results
Calculated formation energy in eV/atom: -0.38
VASP energy in eV per atom: -3.3327
Crystal system: tetragonal
ρ in g/cm³: 6.25

Structure (CIF):
```
data_Sr2MgAg3Sn4
_chemical_formula_sum 'Sr2 Mg1 Ag3 Sn4'
_symmetry_space_group_name_H-M 'P 1'
_symmetry_Int_Tables_number 1
_cell_length_a 4.669
_cell_length_b 4.669
_cell_length_c 12.158
_cell_angle_alpha 90.00
_cell_angle_beta 90.00
_cell_angle_gamma 90.00
loop_
_symmetry_equiv_pos_as_xyz
'x,y,z'
loop_
_atom_site_label
_atom_site_type_symbol
_atom_site_fract_x
_atom_site_fract_y
_atom_site_fract_z
Sr1 Sr 0.000 0.500 0.250
Sr2 Sr 0.500 0.000 0.750
Mg1 Mg 0.000 0.000 0.500
Ag1 Ag 0.000 0.500 0.862
Ag2 Ag 0.500 0.000 0.138
Ag3 Ag 0.500 0.500 0.500
Sn1 Sn 0.000 0.000 0.000
Sn2 Sn 0.000 0.500 0.638
Sn3 Sn 0.500 0.000 0.362
Sn4 Sn 0.500 0.500 0.000
```